AcBMoO5 | GGA+U | optimized geometry

Its theoretical density is 6.9 g/cm3. As for the uncorrected energy: -7.762 eV per atom. The space group is C2/c, No. 15.

a b c (Å): 5.6029 5.6029 7.2253
angles (deg): 103.01 103.01 107.66
Last column: nearest neighbours and their distance in Å.
Fractional positions:
1 O 0.5882 0.7573 0.8994  1 B 1.56
2 O 0.9254 0.0746 0.7500  2 Mo 1.93
3 O 0.4118 0.2427 0.1006  1 B 1.56
4 O 0.8753 0.3141 0.1291  1 B 1.50
5 O 0.7573 0.5882 0.3994  1 B 1.56
6 O 0.6859 0.1247 0.3709  1 B 1.50
7 O 0.1247 0.6859 0.8709  1 B 1.50
8 O 0.2427 0.4118 0.6006  1 B 1.56
9 O 0.0746 0.9254 0.2500  2 Mo 1.93
10 O 0.3141 0.8753 0.6291  1 B 1.50
11 Mo 0.0000 0.0000 0.5000  4 O 1.93-2.14
12 Mo 0.0000 0.0000 0.0000  4 O 1.93-2.14
13 Ac 0.3456 0.6544 0.2500  5 O 2.45-2.55
14 Ac 0.6544 0.3456 0.7500  5 O 2.45-2.55
15 B 0.3107 0.6893 0.7500  4 O 1.50-1.56
16 B 0.6893 0.3107 0.2500  4 O 1.50-1.56